*one*
{
  "formula": "LiTl2Mo",
  "functional": "SCAN",
  "state": "PBEsol geometry",
  "dos_at_fermi_per_ev_cell": 1.74,
  "space_group": "R-3m, No. 166",
  "vol_a3_per_cell": 77.7,
  "lattice_angstrom": [[-0.884, 2.614, 1.382], [-2.905, 0.315, 0.991], [1.198, -2.609, 9.148]],
  "species": ["Li", "Mo", "Tl", "Tl"],
  "frac_coords": [[0.500, 0.500, 0.500], [0.000, 0.000, 0.000], [0.249, 0.249, 0.253], [0.751, 0.751, 0.747]]
}

*two*
{
  "formula": "LiTl2Mo",
  "functional": "SCAN",
  "state": "PBEsol geometry",
  "dos_at_fermi_per_ev_cell": 2.01,
  "space_group": "P4mm, No. 99",
  "vol_a3_per_cell": 79.4,
  "lattice_angstrom": [[-0.049, 3.674, 0.601], [-2.412, 0.427, -2.804], [-4.363, -0.656, 3.653]],
  "species": ["Tl", "Tl", "Mo", "Li"],
  "frac_coords": [[0.500, 0.500, 0.290], [0.000, 0.000, 0.937], [0.500, 0.500, 0.779], [0.000, 0.000, 0.494]]
}

In terms of stability, *one* leads; the second structure lies 154 meV per atom higher.

*one*
{
  "formula": "Li2YMo",
  "functional": "SCAN",
  "state": "PBEsol geometry",
  "dos_at_fermi_per_ev_cell": 1.23,
  "space_group": "F-43m, No. 216",
  "vol_a3_per_cell": 78.6,
  "lattice_angstrom": [[-1.940, -1.847, 3.992], [2.595, -2.916, 2.806], [1.485, 1.511, 4.316]],
  "species": ["Mo", "Y", "Li", "Li"],
  "frac_coords": [[0.500, 0.500, 0.500], [0.250, 0.250, 0.250], [0.000, 0.000, 0.000], [0.750, 0.750, 0.750]]
}

*two*
{
  "formula": "Li2YMo",
  "functional": "SCAN",
  "state": "PBEsol geometry",
  "dos_at_fermi_per_ev_cell": 2.75,
  "space_group": "I-4m2, No. 119",
  "vol_a3_per_cell": 70.6,
  "lattice_angstrom": [[4.058, 0.000, 0.000], [0.000, 4.058, 0.000], [-2.029, -2.029, 4.288]],
  "species": ["Y", "Li", "Li", "Mo"],
  "frac_coords": [[0.250, 0.750, 0.500], [0.000, 0.000, 0.000], [0.750, 0.250, 0.500], [0.500, 0.500, 0.000]]
}

In terms of stability, *one* leads; the second structure lies 66 meV per atom higher.

*one*
{
  "formula": "LiZr2Mo",
  "functional": "SCAN",
  "state": "PBEsol geometry",
  "dos_at_fermi_per_ev_cell": 2.34,
  "space_group": "Fm-3m, No. 225",
  "vol_a3_per_cell": 71.8,
  "lattice_angstrom": [[-0.641, -3.069, 3.454], [1.499, -4.392, -0.474], [3.647, -1.502, 2.492]],
  "species": ["Li", "Mo", "Zr", "Zr"],
  "frac_coords": [[0.000, 0.000, 0.000], [0.500, 0.500, 0.500], [0.250, 0.250, 0.250], [0.750, 0.750, 0.750]]
}

*two*
{
  "formula": "LiZr2Mo",
  "functional": "SCAN",
  "state": "PBEsol geometry",
  "dos_at_fermi_per_ev_cell": 3.24,
  "space_group": "I-4m2, No. 119",
  "vol_a3_per_cell": 71.9,
  "lattice_angstrom": [[4.066, 0.000, 0.000], [0.000, 4.066, 0.000], [-2.033, -2.033, 4.348]],
  "species": ["Zr", "Zr", "Mo", "Li"],
  "frac_coords": [[0.750, 0.250, 0.500], [0.000, 0.000, 0.000], [0.250, 0.750, 0.500], [0.500, 0.500, 0.000]]
}

In terms of stability, *one* leads; the second structure lies 267 meV per atom higher.

*one*
{
  "formula": "LiPS2N",
  "functional": "SCAN",
  "state": "PBEsol geometry",
  "dos_at_fermi_per_ev_cell": 2.74,
  "space_group": "P4/mmm, No. 123",
  "vol_a3_per_cell": 77.9,
  "lattice_angstrom": [[-2.388, -3.204, -0.971], [1.196, -1.931, 3.428], [-3.503, 1.914, 2.300]],
  "species": ["P", "S", "S", "N", "Li"],
  "frac_coords": [[0.000, 0.000, 0.500], [0.000, 0.500, 0.000], [0.500, 0.000, 0.000], [0.500, 0.500, 0.500], [0.000, 0.000, 0.000]]
}

*two*
{
  "formula": "LiPS2N",
  "functional": "SCAN",
  "state": "PBEsol geometry",
  "dos_at_fermi_per_ev_cell": 2.82,
  "space_group": "P4/mmm, No. 123",
  "vol_a3_per_cell": 65.4,
  "lattice_angstrom": [[3.385, 0.000, 0.000], [0.000, 4.397, 0.000], [0.000, 0.000, 4.397]],
  "species": ["P", "Li", "S", "S", "N"],
  "frac_coords": [[0.500, 0.500, 0.500], [0.000, 0.000, 0.000], [0.000, 0.000, 0.500], [0.000, 0.500, 0.000], [0.500, 0.000, 0.000]]
}

In terms of stability, *two* leads; the second structure lies 346 meV per atom higher.